Here is a relaxed structure of KReMoOs2 from Alexandria. Energies are from PBE-GGA.

It has space group P4/mmm (No. 123), with a = 4.442 Å, b = 4.442 Å, c = 4.492 Å, α = 90.00°, β = 90.00° and γ = 90.00°. The distinct sites, in fractional coordinates, are K at (0.000, 0.000, 0.000), Re at (0.000, 0.000, 0.500), Mo at (0.500, 0.500, 0.500) and Os at (0.000, 0.500, 0.000).

The energy of formation is 3.777 eV/atom. Its total energy is -5.59 eV per atom.